No. 1
Computed, not measured: a geometry-optimized MgZnAg structure at the GGA-PBE level of DFT.

abc: 3.410 3.410 8.949
angles: 90.00 90.00 90.00
Space group I4mm (No. 107)
Inequivalent atoms, fractional coordinates:
1 Mg 0.000 0.000 0.000
2 Zn 0.000 0.000 0.668
3 Ag 0.000 0.000 0.329

The energy relative to the elements is -42 kJ/mol of formula units.

No. 2
Computed, not measured: a geometry-optimized Ca2MgHg structure at the GGA-PBE level of DFT.

abc: 3.8870 3.8870 29.6050
angles: 90.00 90.00 120.00
Space group R3m (No. 160, hexagonal axes)
Inequivalent atoms, fractional coordinates:
1 Ca 0.0000 0.0000 0.0000
2 Ca 0.0000 0.0000 0.1810
3 Mg 0.0000 0.0000 0.4240
4 Hg 0.0000 0.0000 0.5904

The energy relative to the elements is -63 kJ/mol of formula units.

No. 3
Computed, not measured: a geometry-optimized LaVH2Pb structure at the GGA-PBE level of DFT.

abc: 4.349 4.349 5.333
angles: 90.00 90.00 90.00
Space group P4/mmm (No. 123)
Inequivalent atoms, fractional coordinates:
1 La 0.000 0.000 0.000
2 V 0.500 0.500 0.500
3 H 0.000 0.500 0.500
4 Pb 0.500 0.500 0.000

The electronic total energy comes out at -4.62 eV per atom.

No. 4
Computed, not measured: a geometry-optimized TaPOs3 structure at the GGA-PBE level of DFT.

abc: 4.341 4.341 4.341
angles: 90.00 90.00 90.00
Space group Pm-3m (No. 221)
Inequivalent atoms, fractional coordinates:
1 Ta 0.000 0.000 0.000
2 P 0.500 0.500 0.500
3 Os 0.000 0.500 0.500

The energy relative to the elements is 354 kJ/mol of formula units.